No. 1
Material: CaReTc2Sn
Method: DFT, PBE-GGA
State: optimized geometry

Cell: 4.8105 4.8105 5.1203 Å, 90.00 90.00 90.00°
Space group P4/mmm (No. 123)
Symmetry-distinct sites (fractional):
Ca (0.0000, 0.0000, 0.0000) x1
Re (0.5000, 0.5000, 0.5000) x1
Tc (0.0000, 0.5000, 0.5000) x2
Sn (0.5000, 0.5000, 0.0000) x1

Calculated values
- calculated formation energy (eV/atom) = 0.945

=====

No. 2
Material: ReTcO2
Method: DFT, PBE-GGA
State: optimized geometry

Cell: 4.8572 4.8572 8.5463 Å, 90.00 90.00 90.00°
Space group I-42d (No. 122)
Symmetry-distinct sites (fractional):
Re (0.0000, 0.0000, 0.0000) x4
Tc (0.0000, 0.0000, 0.5000) x4
O (0.2468, 0.2500, 0.1250) x8

Calculated values
- uncorrected formation energy (meV/atom) = 9

=====

No. 3
Material: Sr2HgF
Method: DFT, PBE-GGA
State: optimized geometry

Cell: 4.8367 4.8367 24.4696 Å, 90.00 90.00 120.00°
Space group R-3m (No. 166, hexagonal axes)
Symmetry-distinct sites (fractional):
Sr (0.0000, 0.0000, 0.0937) x6
Hg (0.0000, 0.0000, 0.5000) x3
F (0.0000, 0.0000, 0.0000) x3

Calculated values
- uncorrected formation energy (meV/atom) = -1541

=====

No. 4
Material: Li2ThPb3Se6
Method: DFT, PBE-GGA
State: optimized geometry

Cell: 7.2962 12.6747 7.4827 Å, 90.00 108.61 90.00°
Space group C2/m (No. 12)
Symmetry-distinct sites (fractional):
Li (0.0000, 0.1740, 0.0000) x4
Th (0.0000, 0.5000, 0.0000) x2
Pb (0.0000, 0.0000, 0.5000) x2
Pb (0.0000, 0.3348, 0.5000) x4
Se (0.2426, 0.3353, 0.2267) x8
Se (0.2496, 0.0000, 0.2360) x4

Calculated values
- uncorrected formation energy (meV/atom) = -1018